Sr2HfCoO6 after structural relaxation, computed with GGA+U.

The structure in CIF format:
```
data_Sr2HfCoO6
_space_group_name_H-M_alt 'P 1'
_space_group_IT_number 1
_space_group_name_Hall 'P 1'
_cell_length_a 5.587
_cell_length_b 5.587
_cell_length_c 5.587
_cell_angle_alpha 60.00
_cell_angle_beta 60.00
_cell_angle_gamma 60.00
loop_
_atom_site_label
_atom_site_fract_x
_atom_site_fract_y
_atom_site_fract_z
Sr1 0.250 0.250 0.250
Sr2 0.750 0.750 0.750
Hf1 0.000 0.000 0.000
Co1 0.500 0.500 0.500
O1 0.260 0.260 0.740
O2 0.260 0.740 0.260
O3 0.260 0.740 0.740
O4 0.740 0.260 0.260
O5 0.740 0.260 0.740
O6 0.740 0.740 0.260
```

Summary:
E ... -7.27 eV per atom
Space group ... Fm-3m (225)
E above lowest polymorph ... 0.0153 eV/atom

HfTaCoO6 after structural relaxation, computed with GGA+U.

The structure in CIF format:
```
data_HfTaCoO6
_space_group_name_H-M_alt 'P 1'
_space_group_IT_number 1
_space_group_name_Hall 'P 1'
_cell_length_a 4.787
_cell_length_b 4.787
_cell_length_c 9.172
_cell_angle_alpha 90.00
_cell_angle_beta 90.00
_cell_angle_gamma 90.00
loop_
_atom_site_label
_atom_site_fract_x
_atom_site_fract_y
_atom_site_fract_z
Hf1 0.000 0.000 0.000
Hf2 0.500 0.500 0.500
Ta1 0.000 0.000 0.666
Ta2 0.500 0.500 0.166
Co1 0.000 0.000 0.331
Co2 0.500 0.500 0.831
O1 0.188 0.188 0.493
O2 0.194 0.194 0.823
O3 0.199 0.199 0.170
O4 0.301 0.699 0.670
O5 0.306 0.694 0.323
O6 0.312 0.688 0.993
O7 0.688 0.312 0.993
O8 0.694 0.306 0.323
O9 0.699 0.301 0.670
O10 0.801 0.801 0.170
O11 0.806 0.806 0.823
O12 0.812 0.812 0.493
```

Summary:
E ... -8.77 eV per atom
Space group ... P4_2nm (102)

HfTaCo2O after structural relaxation, computed with GGA+U.

The structure in CIF format:
```
data_HfTaCo2O
_space_group_name_H-M_alt 'P 1'
_space_group_IT_number 1
_space_group_name_Hall 'P 1'
_cell_length_a 4.106
_cell_length_b 4.106
_cell_length_c 4.182
_cell_angle_alpha 90.00
_cell_angle_beta 90.00
_cell_angle_gamma 90.00
loop_
_atom_site_label
_atom_site_fract_x
_atom_site_fract_y
_atom_site_fract_z
Hf1 0.000 0.000 0.000
Ta1 0.500 0.500 0.000
Co1 0.000 0.500 0.500
Co2 0.500 0.000 0.500
O1 0.000 0.000 0.500
```

Summary:
E ... -7.53 eV per atom
Space group ... P4/mmm (123)

HfUCoO6 after structural relaxation, computed with GGA+U.

The structure in CIF format:
```
data_HfUCoO6
_space_group_name_H-M_alt 'P 1'
_space_group_IT_number 1
_space_group_name_Hall 'P 1'
_cell_length_a 5.529
_cell_length_b 5.529
_cell_length_c 8.851
_cell_angle_alpha 90.00
_cell_angle_beta 90.00
_cell_angle_gamma 120.00
loop_
_atom_site_label
_atom_site_fract_x
_atom_site_fract_y
_atom_site_fract_z
Hf1 0.333 0.667 0.250
Hf2 0.667 0.333 0.750
U1 0.333 0.667 0.750
U2 0.667 0.333 0.250
Co1 0.000 0.000 0.000
Co2 0.000 0.000 0.500
O1 0.001 0.344 0.132
O2 0.001 0.657 0.368
O3 0.343 0.344 0.368
O4 0.343 0.999 0.132
O5 0.344 0.001 0.632
O6 0.344 0.343 0.868
O7 0.656 0.657 0.132
O8 0.656 0.999 0.368
O9 0.657 0.001 0.868
O10 0.657 0.656 0.632
O11 0.999 0.343 0.632
O12 0.999 0.656 0.868
```

Summary:
E ... -8.78 eV per atom
Space group ... P-31c (163)